[1]
The following is a DFT calculation (GGA-PBE) of a geometry-optimized BaNiSe4 structure.

Computed properties:
**Space group**: F-43m
**Calculated density**: 5.8 g cm⁻³
**Formation energy (no corrections)**: 0.62 eV/f.u.
**DFT total energy**: -3.504 eV/atom
**N(E_F)**: 9.24 states/eV/cell

```
BaNiSe4
1.0
1.8173 -5.6077 0.2957
-3.9059 -4.3218 0.9494
-1.3426 -3.7699 -4.3383
Ni Se Ba
1 4 1
direct
0.0000 0.0000 0.0000
0.3729 0.3729 0.3729
0.8812 0.3729 0.3729
0.3729 0.3729 0.8812
0.3729 0.8812 0.3729
0.7500 0.7500 0.7500
```

[2]
The following is a DFT calculation (GGA-PBE) of a geometry-optimized Nd6CuAg3 structure.

Computed properties:
**Space group**: P2_1/m
**Calculated density**: 7.4 g cm⁻³
**E_form**: -0.138 eV per atom
**DFT total energy**: -4.263 eV/atom
**N(E_F)**: 19.37 states/eV/cell

```
Nd6CuAg3
1.0
5.0691 0.0000 0.0000
0.0000 8.9174 -3.5597
0.0000 -0.4264 12.6807
Nd Ag Cu
12 6 2
direct
0.2500 0.8899 0.3835
0.7500 0.7043 0.5364
0.7500 0.3161 0.2603
0.2500 0.5055 0.1180
0.2500 0.6839 0.7397
0.7500 0.4945 0.8820
0.7500 0.8535 0.1545
0.2500 0.1465 0.8455
0.7500 0.1101 0.6165
0.2500 0.2957 0.4636
0.7500 0.9208 0.8875
0.2500 0.0792 0.1125
0.7500 0.2706 0.0099
0.2500 0.3494 0.7153
0.7500 0.6506 0.2847
0.7500 0.4512 0.6302
0.2500 0.7294 0.9901
0.2500 0.5488 0.3698
0.2500 0.9003 0.6223
0.7500 0.0997 0.3777
```

- Which of these has the highest N(E_F)?
  Nd6CuAg3

- Look up the N(E_F) of the first one.
  9.24 states/eV/cell

Repeat the first record exactly.
The following is a DFT calculation (GGA-PBE) of a geometry-optimized BaNiSe4 structure.

Computed properties:
**Space group**: F-43m
**Calculated density**: 5.8 g cm⁻³
**Formation energy (no corrections)**: 0.62 eV/f.u.
**DFT total energy**: -3.504 eV/atom
**N(E_F)**: 9.24 states/eV/cell

```
BaNiSe4
1.0
1.8173 -5.6077 0.2957
-3.9059 -4.3218 0.9494
-1.3426 -3.7699 -4.3383
Ni Se Ba
1 4 1
direct
0.0000 0.0000 0.0000
0.3729 0.3729 0.3729
0.8812 0.3729 0.3729
0.3729 0.3729 0.8812
0.3729 0.8812 0.3729
0.7500 0.7500 0.7500
```